A geometry-optimized Sm3Dy2Tl4 structure, computed with PBE.

```
data_Sm3Dy2Tl4
_cell_length_a 5.351
_cell_length_b 5.351
_cell_length_c 10.527
_cell_angle_alpha 90.01
_cell_angle_beta 90.01
_cell_angle_gamma 59.95
_symmetry_space_group_name_H-M 'P 1'
_symmetry_Int_Tables_number 1
_symmetry_space_group_name_Hall 'P 1'
loop_
_atom_site_label
_atom_site_fract_x
_atom_site_fract_y
_atom_site_fract_z
_atom_site_occupancy
Sm1 0.000 0.000 0.000 1
Sm2 0.333 0.333 0.578 1
Sm3 0.667 0.667 0.422 1
Dy1 0.333 0.333 0.222 1
Dy2 0.667 0.667 0.778 1
Tl1 0.001 0.001 0.656 1
Tl2 0.332 0.332 0.898 1
Tl3 0.668 0.668 0.102 1
Tl4 0.999 0.999 0.344 1
```

Results
Calculated density = 10.14 Mg/m³
Distance to the lowest polymorph of the same formula = 0.000 eV/atom
Formation energy from the elements = -310 meV/atom
M_tot = 0.0 μB/cell
DOS at the Fermi energy = 8.05 states/eV per cell
SG = C2/m